[1]
Entry from the Alexandria database: a relaxed structure of CdRe3Sn (PBE).

Output
As for the energy relative to the elements: 2.67 eV/atom. As for the total energy: -28.93 eV per formula unit. Its density of states at the Fermi level is 7.944 states/eV/cell. Its space group is Pm-3m, No. 221. The calculation puts the calculated density at 11.403 Mg/m³. Its distance to the lowest polymorph of the same formula is 0 meV/atom.

Geometry as POSCAR:
```
CdRe3Sn
1.0
-0.328 -1.873 4.476
4.360 -2.083 -0.551
2.129 3.975 1.819
Re Sn Cd
3 1 1
direct
0.000 0.500 0.000
0.000 0.000 0.500
0.500 0.000 0.000
0.000 0.000 0.000
0.500 0.500 0.500
```



[2]
Entry from the Alexandria database: a relaxed structure of Tl2MoPb (PBE).

Output
As for the energy relative to the elements: 0.78 eV/atom. As for the total energy: -16.17 eV per formula unit. Its density of states at the Fermi level is 3.220 states/eV/cell. Its space group is C2/m, No. 12. The calculation puts the calculated density at 11.863 Mg/m³. Its distance to the lowest polymorph of the same formula is 287 meV/atom.

Geometry as POSCAR:
```
Tl2MoPb
1.0
5.448 -0.035 -0.109
-2.539 5.664 0.008
0.371 1.043 3.223
Mo Pb Tl
1 1 2
direct
0.000 0.500 0.500
0.500 0.500 0.000
0.000 0.000 0.000
0.500 0.000 0.500
```



[3]
Entry from the Alexandria database: a relaxed structure of SmY2I6 (PBE).

Output
Its raw formation energy is -1.25 eV/atom. As for the total energy: -38.22 eV per formula unit. Its density of states at the Fermi level is 6.290 states/eV/cell. Its space group is C2/m, No. 12. The calculation puts the calculated density at 4.875 Mg/m³.

Geometry as POSCAR:
```
SmY2I6
1.0
-0.906 3.902 -1.169
-2.427 -4.901 -7.029
-7.680 0.784 8.570
Sm Y I
1 2 6
direct
0.000 0.000 0.500
0.650 0.300 0.806
0.350 0.700 0.194
0.300 0.601 0.891
0.700 0.399 0.109
0.985 0.970 0.213
0.649 0.297 0.544
0.015 0.030 0.787
0.351 0.703 0.456
```



[4]
Entry from the Alexandria database: a relaxed structure of LaB3O6 (PBE).

Output
Its raw formation energy is -2.77 eV/atom. As for the total energy: -82.43 eV per formula unit. Its density of states at the Fermi level is 0.000 states/eV/cell. Its space group is C2/c, No. 15. The calculation puts the calculated density at 4.107 Mg/m³. Its distance to the lowest polymorph of the same formula is 0 meV/atom.

Geometry as POSCAR:
```
LaB3O6
1.0
-4.504 -0.599 4.641
-0.560 -6.458 0.409
1.743 -2.902 5.641
La B O
2 6 12
direct
0.202 0.798 0.750
0.798 0.202 0.250
0.777 0.223 0.750
0.797 0.658 0.419
0.342 0.203 0.081
0.223 0.777 0.250
0.658 0.797 0.919
0.203 0.342 0.581
0.788 0.417 0.511
0.583 0.212 0.989
0.990 0.221 0.784
0.779 0.010 0.716
0.010 0.779 0.216
0.221 0.990 0.284
0.618 0.788 0.501
0.212 0.382 0.999
0.382 0.212 0.499
0.788 0.618 0.001
0.417 0.788 0.011
0.212 0.583 0.489
```



[5]
Entry from the Alexandria database: a relaxed structure of TbCe2Cr2N6 (PBE).

Output
Its raw formation energy is -0.85 eV/atom. As for the total energy: -95.09 eV per formula unit. Its density of states at the Fermi level is 9.258 states/eV/cell. Its space group is R-3m, No. 166. The calculation puts the calculated density at 6.516 Mg/m³.

Geometry as POSCAR:
```
TbCe2Cr2N6
1.0
-3.152 0.557 4.494
-5.496 0.076 -0.478
-3.023 -5.816 1.988
Tb Ce Cr N
1 2 2 6
direct
0.000 0.000 0.000
0.794 0.794 0.617
0.206 0.206 0.383
0.402 0.402 0.795
0.598 0.598 0.205
0.736 0.736 0.296
0.232 0.736 0.296
0.736 0.232 0.296
0.264 0.768 0.704
0.768 0.264 0.704
0.264 0.264 0.704
```



[6]
Entry from the Alexandria database: a relaxed structure of SrRe2W (PBE).

Output
As for the energy relative to the elements: 0.81 eV/atom. As for the total energy: -36.30 eV per formula unit. Its density of states at the Fermi level is 3.356 states/eV/cell. Its space group is Cm, No. 8. The calculation puts the calculated density at 12.391 Mg/m³. Its distance to the lowest polymorph of the same formula is 80 meV/atom.

Geometry as POSCAR:
```
SrRe2W
1.0
5.200 0.003 0.002
4.261 2.980 0.002
1.384 0.437 5.573
Re Sr W
2 1 1
direct
0.999 0.999 0.004
0.286 0.286 0.143
0.504 0.504 0.496
0.712 0.712 0.857
```



[7]
Entry from the Alexandria database: a relaxed structure of TaTl (PBE).

Output
As for the energy relative to the elements: 0.68 eV/atom. As for the total energy: -12.86 eV per formula unit. Its density of states at the Fermi level is 5.327 states/eV/cell. Its space group is Pnma, No. 62. The calculation puts the calculated density at 14.222 Mg/m³. Its distance to the lowest polymorph of the same formula is 221 meV/atom.

Geometry as POSCAR:
```
TaTl
1.0
-3.102 -0.607 -0.687
-1.025 -1.317 5.791
-2.092 8.841 1.640
Ta Tl
4 4
direct
0.750 0.904 0.098
0.250 0.404 0.402
0.750 0.596 0.598
0.250 0.096 0.902
0.750 0.386 0.126
0.250 0.886 0.374
0.750 0.114 0.626
0.250 0.614 0.874
```



[8]
Entry from the Alexandria database: a relaxed structure of ErAlCo (PBE).

Output
As for the energy relative to the elements: -0.40 eV/atom. As for the total energy: -16.62 eV per formula unit. Its density of states at the Fermi level is 12.415 states/eV/cell. Its space group is Amm2, No. 38. The calculation puts the calculated density at 8.180 Mg/m³.

Geometry as POSCAR:
```
ErAlCo
1.0
5.301 -0.009 0.000
-2.587 4.627 0.000
0.000 0.000 8.389
Er Al Co
4 4 4
direct
0.334 0.666 0.201
0.671 0.329 0.325
0.671 0.329 0.675
0.334 0.666 0.799
0.997 0.003 0.274
0.997 0.003 0.726
0.835 0.662 0.000
0.338 0.165 0.000
0.834 0.166 0.000
0.175 0.361 0.500
0.639 0.825 0.500
0.175 0.825 0.500
```